Compound: Zr3BeCr
Source: Alexandria via LeMat-Bulk
Functional: PBE-GGA
Structure: relaxed

Calculated values
- Excess energy over the best structure of this formula in the dataset: 0.0000 eV/atom
- Density: 5.531 g/cm3

Unit cell a=4.649 b=4.649 c=4.649 alpha=90.00 beta=90.00 gamma=90.00
Element x y z (fractional)
Cr: 0.500 0.500 0.500
Zr: 0.000 0.500 0.000
Zr: 0.000 0.000 0.500
Zr: 0.500 0.000 0.000
Be: 0.000 0.000 0.000